1.
# ThPaNbC3

A relaxed ThPaNbC3 crystal (GGA-PBE, Alexandria via LeMat-Bulk).

Unit cell a=7.2459 b=3.5879 c=7.8337 alpha=90.00 beta=108.16 gamma=90.00
Sites, in units of the cell vectors:
Th (0.0564, 0.2500, 0.2983)
Th (0.9436, 0.7500, 0.7017)
Pa (0.4184, 0.7500, 0.6482)
Pa (0.5816, 0.2500, 0.3518)
Nb (0.3535, 0.7500, 0.0389)
Nb (0.6465, 0.2500, 0.9611)
C (0.1813, 0.2500, 0.6393)
C (0.2973, 0.2500, 0.8342)
C (0.3288, 0.7500, 0.3283)
C (0.6712, 0.2500, 0.6717)
C (0.7027, 0.7500, 0.1658)
C (0.8187, 0.7500, 0.3607)

Results
The calculation puts the density of states at the Fermi level at 7.1 states/eV/cell. The total magnetization comes out at 0.000 μB/f.u. For the calculated formation energy, the calculation gives -0.20 eV/atom. As for the calculated volume: 16.13 Å³ per atom. Its crystal system is monoclinic.

2.
# PaTiNbC3

A relaxed PaTiNbC3 crystal (GGA-PBE, Alexandria via LeMat-Bulk).

Unit cell a=5.6736 b=3.2908 c=8.4367 alpha=90.00 beta=102.74 gamma=90.00
Sites, in units of the cell vectors:
Pa (0.1504, 0.2500, 0.2009)
Pa (0.8496, 0.7500, 0.7991)
Ti (0.2712, 0.7500, 0.5467)
Ti (0.7288, 0.2500, 0.4533)
Nb (0.3671, 0.2500, 0.8577)
Nb (0.6329, 0.7500, 0.1423)
C (0.0572, 0.2500, 0.6569)
C (0.2452, 0.7500, 0.9921)
C (0.4611, 0.7500, 0.3502)
C (0.5389, 0.2500, 0.6498)
C (0.7548, 0.2500, 0.0079)
C (0.9428, 0.7500, 0.3431)

Results
The calculation puts the density of states at the Fermi level at 4.2 states/eV/cell. The total magnetization comes out at 0.000 μB/f.u. For the calculated formation energy, the calculation gives -0.48 eV/atom. As for the calculated volume: 12.80 Å³ per atom. Its crystal system is monoclinic.

3.
# PaTi2NbC4

A relaxed PaTi2NbC4 crystal (GGA-PBE, Alexandria via LeMat-Bulk).

Unit cell a=5.5982 b=3.2270 c=5.7066 alpha=90.00 beta=109.46 gamma=90.00
Sites, in units of the cell vectors:
Pa (0.0000, 0.0000, 0.0000)
Ti (0.5000, 0.0000, 0.5000)
Ti (0.5000, 0.5000, 0.0000)
Nb (0.0000, 0.5000, 0.5000)
C (0.2608, 0.0000, 0.7451)
C (0.2705, 0.5000, 0.2704)
C (0.7295, 0.5000, 0.7296)
C (0.7392, 0.0000, 0.2549)

Results
The calculation puts the density of states at the Fermi level at 3.9 states/eV/cell. The total magnetization comes out at 0.000 μB/f.u. For the calculated formation energy, the calculation gives -0.53 eV/atom. As for the calculated volume: 12.15 Å³ per atom. Its crystal system is monoclinic.

4.
# Tm2PaNbC4

A relaxed Tm2PaNbC4 crystal (GGA-PBE, Alexandria via LeMat-Bulk).

Unit cell a=6.9026 b=6.9026 c=6.9026 alpha=120.61 beta=119.52 gamma=89.89
Sites, in units of the cell vectors:
Tm (0.0000, 0.0000, 0.0000)
Tm (0.5000, 0.0000, 0.0000)
Tm (0.5000, 0.0000, 0.5000)
Tm (0.5000, 0.5000, 0.5000)
Pa (0.0000, 0.5000, 0.5000)
Pa (0.5000, 0.5000, 0.0000)
Nb (0.0000, 0.0000, 0.5000)
Nb (0.0000, 0.5000, 0.0000)
C (0.2276, 0.7472, 0.4804)
C (0.2333, 0.2528, 0.9804)
C (0.2347, 0.2442, 0.5095)
C (0.2347, 0.7252, 0.9905)
C (0.7653, 0.2748, 0.0095)
C (0.7653, 0.7558, 0.4905)
C (0.7667, 0.7472, 0.0196)
C (0.7724, 0.2528, 0.5196)

Results
The calculation puts the density of states at the Fermi level at 2.0 states/eV/cell. The total magnetization comes out at 0.000 μB/f.u. For the calculated formation energy, the calculation gives -0.44 eV/atom. As for the calculated volume: 14.52 Å³ per atom. Its crystal system is orthorhombic.

5.
# TmPa2NbC4

A relaxed TmPa2NbC4 crystal (GGA-PBE, Alexandria via LeMat-Bulk).

Unit cell a=6.9468 b=6.9468 c=6.9468 alpha=120.63 beta=119.46 gamma=89.92
Sites, in units of the cell vectors:
Tm (0.0000, 0.0000, 0.0000)
Tm (0.5000, 0.0000, 0.5000)
Pa (0.0000, 0.5000, 0.5000)
Pa (0.5000, 0.0000, 0.0000)
Pa (0.5000, 0.5000, 0.0000)
Pa (0.5000, 0.5000, 0.5000)
Nb (0.0000, 0.0000, 0.5000)
Nb (0.0000, 0.5000, 0.0000)
C (0.2332, 0.7492, 0.4840)
C (0.2348, 0.2508, 0.9840)
C (0.2409, 0.2477, 0.5068)
C (0.2409, 0.7342, 0.9932)
C (0.7591, 0.2658, 0.0068)
C (0.7591, 0.7523, 0.4932)
C (0.7652, 0.7492, 0.0160)
C (0.7668, 0.2508, 0.5160)

Results
The calculation puts the density of states at the Fermi level at 9.0 states/eV/cell. The total magnetization comes out at 0.000 μB/f.u. For the calculated formation energy, the calculation gives -0.45 eV/atom. As for the calculated volume: 14.80 Å³ per atom. Its crystal system is orthorhombic.

6.
# UPaNb2C4

A relaxed UPaNb2C4 crystal (GGA-PBE, Alexandria via LeMat-Bulk).

Unit cell a=5.7236 b=3.3084 c=5.9438 alpha=90.00 beta=108.76 gamma=90.00
Sites, in units of the cell vectors:
U (0.0000, 0.0000, 0.0000)
Pa (0.5000, 0.5000, 0.0000)
Nb (0.0000, 0.5000, 0.5000)
Nb (0.5000, 0.0000, 0.5000)
C (0.2373, 0.0000, 0.7259)
C (0.2520, 0.5000, 0.2711)
C (0.7480, 0.5000, 0.7289)
C (0.7627, 0.0000, 0.2741)

Results
The calculation puts the density of states at the Fermi level at 5.0 states/eV/cell. The total magnetization comes out at 0.001 μB/f.u. For the calculated formation energy, the calculation gives -0.46 eV/atom. As for the calculated volume: 13.32 Å³ per atom. Its crystal system is monoclinic.

7.
# UPa2NbC4

A relaxed UPa2NbC4 crystal (GGA-PBE, Alexandria via LeMat-Bulk).

Unit cell a=5.9747 b=3.4362 c=6.0357 alpha=90.00 beta=109.20 gamma=90.00
Sites, in units of the cell vectors:
U (0.0000, 0.0000, 0.0000)
Pa (0.0000, 0.5000, 0.5000)
Pa (0.5000, 0.0000, 0.5000)
Nb (0.5000, 0.5000, 0.0000)
C (0.2559, 0.5000, 0.2224)
C (0.2640, 0.0000, 0.7722)
C (0.7360, 0.0000, 0.2278)
C (0.7441, 0.5000, 0.7776)

Results
The calculation puts the density of states at the Fermi level at 5.2 states/eV/cell. The total magnetization comes out at 0.000 μB/f.u. For the calculated formation energy, the calculation gives -0.41 eV/atom. As for the calculated volume: 14.63 Å³ per atom. Its crystal system is monoclinic.

8.
# PaNbVC3

A relaxed PaNbVC3 crystal (GGA-PBE, Alexandria via LeMat-Bulk).

Unit cell a=6.8604 b=3.2639 c=7.5972 alpha=90.00 beta=103.19 gamma=90.00
Sites, in units of the cell vectors:
Pa (0.1804, 0.2500, 0.1991)
Pa (0.8196, 0.7500, 0.8009)
Nb (0.3522, 0.7500, 0.8663)
Nb (0.6478, 0.2500, 0.1337)
V (0.1195, 0.2500, 0.5988)
V (0.8805, 0.7500, 0.4012)
C (0.1122, 0.2500, 0.8628)
C (0.1918, 0.7500, 0.4834)
C (0.4331, 0.7500, 0.1608)
C (0.5669, 0.2500, 0.8392)
C (0.8082, 0.2500, 0.5166)
C (0.8878, 0.7500, 0.1372)

Results
The calculation puts the density of states at the Fermi level at 5.5 states/eV/cell. The total magnetization comes out at 0.000 μB/f.u. For the calculated formation energy, the calculation gives -0.20 eV/atom. As for the calculated volume: 13.80 Å³ per atom. Its crystal system is monoclinic.

9.
# PaNb2WC4

A relaxed PaNb2WC4 crystal (GGA-PBE, Alexandria via LeMat-Bulk).

Unit cell a=5.9757 b=5.9757 c=11.2046 alpha=90.00 beta=90.00 gamma=148.24
Sites, in units of the cell vectors:
Pa (0.1166, 0.8834, 0.7500)
Pa (0.8834, 0.1166, 0.2500)
Nb (0.3718, 0.6282, 0.5349)
Nb (0.3718, 0.6282, 0.9651)
Nb (0.6282, 0.3718, 0.0349)
Nb (0.6282, 0.3718, 0.4651)
W (0.1482, 0.8518, 0.2500)
W (0.8518, 0.1482, 0.7500)
C (0.0000, 0.0000, 0.0000)
C (0.0000, 0.0000, 0.5000)
C (0.2640, 0.7360, 0.1159)
C (0.2640, 0.7360, 0.3841)
C (0.4589, 0.5411, 0.7500)
C (0.5411, 0.4589, 0.2500)
C (0.7360, 0.2640, 0.6159)
C (0.7360, 0.2640, 0.8841)

Results
The calculation puts the density of states at the Fermi level at 7.4 states/eV/cell. The total magnetization comes out at 0.000 μB/f.u. For the calculated formation energy, the calculation gives -0.21 eV/atom. As for the calculated volume: 13.16 Å³ per atom. Its crystal system is orthorhombic.

10.
# PaNbWC3

A relaxed PaNbWC3 crystal (GGA-PBE, Alexandria via LeMat-Bulk).

Unit cell a=5.6349 b=3.2525 c=8.4596 alpha=90.00 beta=102.71 gamma=90.00
Sites, in units of the cell vectors:
Pa (0.1453, 0.2500, 0.1959)
Pa (0.8547, 0.7500, 0.8041)
Nb (0.2696, 0.7500, 0.5531)
Nb (0.7304, 0.2500, 0.4469)
W (0.3757, 0.2500, 0.8665)
W (0.6243, 0.7500, 0.1335)
C (0.0633, 0.2500, 0.6623)
C (0.2478, 0.7500, 0.9878)
C (0.4588, 0.7500, 0.3412)
C (0.5412, 0.2500, 0.6588)
C (0.7522, 0.2500, 0.0122)
C (0.9367, 0.7500, 0.3377)

Results
The calculation puts the density of states at the Fermi level at 4.3 states/eV/cell. The total magnetization comes out at 0.000 μB/f.u. For the calculated formation energy, the calculation gives -0.43 eV/atom. As for the calculated volume: 12.60 Å³ per atom. Its crystal system is monoclinic.